# 1
# ScAgMo (PBE, relaxed)
data_ScAgMo
_symmetry_space_group_name_H-M 'I m m 2'
_symmetry_Int_Tables_number 44
_cell_length_a 2.9738
_cell_length_b 3.6467
_cell_length_c 10.1897
_cell_angle_alpha 90.00
_cell_angle_beta 90.00
_cell_angle_gamma 90.00
loop_
_symmetry_equiv_pos_as_xyz
'x,y,z'
'-x,-y,z'
'-x,y,z'
'x,-y,z'
'x+1/2,y+1/2,z+1/2'
'-x+1/2,-y+1/2,z+1/2'
'-x+1/2,y+1/2,z+1/2'
'x+1/2,-y+1/2,z+1/2'
loop_
_atom_site_label
_atom_site_type_symbol
_atom_site_fract_x
_atom_site_fract_y
_atom_site_fract_z
_atom_site_occupancy
Sc1 Sc 0.0000 0.0000 0.0000 1
Ag1 Ag 0.0000 0.0000 0.6732 1
Mo1 Mo 0.0000 0.0000 0.3360 1
# **Fermi-level density of states**: 7.0 states/eV/cell
# **M_tot**: 0.0 μB/f.u.
# **E above lowest polymorph**: 155 meV per atom

***

# 2
# TlCrW2 (PBE, relaxed)
data_TlCrW2
_symmetry_space_group_name_H-M 'I m m 2'
_symmetry_Int_Tables_number 44
_cell_length_a 3.2657
_cell_length_b 4.5651
_cell_length_c 8.8524
_cell_angle_alpha 90.00
_cell_angle_beta 90.00
_cell_angle_gamma 90.00
loop_
_symmetry_equiv_pos_as_xyz
'x,y,z'
'-x,-y,z'
'-x,y,z'
'x,-y,z'
'x+1/2,y+1/2,z+1/2'
'-x+1/2,-y+1/2,z+1/2'
'-x+1/2,y+1/2,z+1/2'
'x+1/2,-y+1/2,z+1/2'
loop_
_atom_site_label
_atom_site_type_symbol
_atom_site_fract_x
_atom_site_fract_y
_atom_site_fract_z
_atom_site_occupancy
Tl1 Tl 0.0000 0.0000 0.0000 1
Cr1 Cr 0.0000 0.5000 0.2448 1
W1 W 0.0000 0.0000 0.5229 1
W2 W 0.0000 0.5000 0.7750 1
# **Fermi-level density of states**: 8.0 states/eV/cell
# **M_tot**: 0.0 μB/f.u.
# **E above lowest polymorph**: 170 meV per atom

***

# 3
# CrHg2Os (PBE, relaxed)
data_CrHg2Os
_symmetry_space_group_name_H-M 'C 1 2/m 1'
_symmetry_Int_Tables_number 12
_cell_length_a 9.5038
_cell_length_b 3.0074
_cell_length_c 5.0601
_cell_angle_alpha 90.00
_cell_angle_beta 101.01
_cell_angle_gamma 90.00
loop_
_symmetry_equiv_pos_as_xyz
'x,y,z'
'-x,-y,-z'
'-x,y,-z'
'x,-y,z'
'x+1/2,y+1/2,z'
'-x+1/2,-y+1/2,-z'
'-x+1/2,y+1/2,-z'
'x+1/2,-y+1/2,z'
loop_
_atom_site_label
_atom_site_type_symbol
_atom_site_fract_x
_atom_site_fract_y
_atom_site_fract_z
_atom_site_occupancy
Cr1 Cr 0.0000 0.0000 0.0000 1
Hg1 Hg 0.2494 0.5000 0.2508 1
Os1 Os 0.0000 0.5000 0.5000 1
# **Fermi-level density of states**: 6.9 states/eV/cell
# **M_tot**: 2.7 μB/f.u.
# **E above lowest polymorph**: 383 meV per atom

***

# 4
# Ce2PmGe2Pt2 (PBE, relaxed)
data_Ce2PmGe2Pt2
_symmetry_space_group_name_H-M 'R -3 m'
_symmetry_Int_Tables_number 166
_symmetry_space_group_name_Hall '-R 3 2"'
_cell_length_a 4.3910
_cell_length_b 4.3910
_cell_length_c 27.3097
_cell_angle_alpha 90.00
_cell_angle_beta 90.00
_cell_angle_gamma 120.00
loop_
_atom_site_label
_atom_site_type_symbol
_atom_site_fract_x
_atom_site_fract_y
_atom_site_fract_z
_atom_site_occupancy
Ce1 Ce 0.0000 0.0000 0.1381 1
Pm1 Pm 0.0000 0.0000 0.0000 1
Ge1 Ge 0.0000 0.0000 0.2595 1
Pt1 Pt 0.0000 0.0000 0.4071 1
# **Fermi-level density of states**: 24.3 states/eV/cell
# **Final energy**: -132.8 eV for the cell shown
# **M_tot**: 1.1 μB/f.u.

***

# 5
# TaIrW2 (PBE, relaxed)
data_TaIrW2
_symmetry_space_group_name_H-M 'P m m 2'
_symmetry_Int_Tables_number 25
_cell_length_a 2.7926
_cell_length_b 3.9577
_cell_length_c 5.9131
_cell_angle_alpha 90.00
_cell_angle_beta 90.00
_cell_angle_gamma 90.00
loop_
_symmetry_equiv_pos_as_xyz
'x,y,z'
'-x,-y,z'
'-x,y,z'
'x,-y,z'
loop_
_atom_site_label
_atom_site_type_symbol
_atom_site_fract_x
_atom_site_fract_y
_atom_site_fract_z
_atom_site_occupancy
Ta1 Ta 0.0000 0.0000 0.0000 1
Ir1 Ir 0.5000 0.5000 0.7575 1
W1 W 0.0000 0.0000 0.5128 1
W2 W 0.5000 0.5000 0.2678 1
# **Fermi-level density of states**: 4.0 states/eV/cell
# **M_tot**: 0.0 μB/f.u.
# **E above lowest polymorph**: 99 meV per atom

***

# 6
# LaTa3Te (PBE, relaxed)
data_LaTa3Te
_symmetry_space_group_name_H-M 'P m -3 m'
_symmetry_Int_Tables_number 221
_symmetry_space_group_name_Hall '-P 4 2 3'
_cell_length_a 5.1120
_cell_length_b 5.1120
_cell_length_c 5.1120
_cell_angle_alpha 90.00
_cell_angle_beta 90.00
_cell_angle_gamma 90.00
loop_
_atom_site_label
_atom_site_type_symbol
_atom_site_fract_x
_atom_site_fract_y
_atom_site_fract_z
_atom_site_occupancy
La1 La 0.0000 0.0000 0.0000 1
Ta1 Ta 0.0000 0.5000 0.5000 1
Te1 Te 0.5000 0.5000 0.5000 1
# **Fermi-level density of states**: 8.2 states/eV/cell
# **M_tot**: 0.0 μB/f.u.
# **Formation energy from raw total energies**: 28.68 kcal/mol of atoms
# **E above lowest polymorph**: 0 meV per atom

***

# 7
# Ce2Pd5Au12 (PBE, relaxed)
data_Ce2Pd5Au12
_symmetry_space_group_name_H-M 'R -3 m'
_symmetry_Int_Tables_number 166
_symmetry_space_group_name_Hall '-R 3 2"'
_cell_length_a 9.5715
_cell_length_b 9.5715
_cell_length_c 14.0031
_cell_angle_alpha 90.00
_cell_angle_beta 90.00
_cell_angle_gamma 120.00
loop_
_atom_site_label
_atom_site_type_symbol
_atom_site_fract_x
_atom_site_fract_y
_atom_site_fract_z
_atom_site_occupancy
Ce1 Ce 0.0000 0.0000 0.1937 1
Pd1 Pd 0.0000 0.0000 0.3962 1
Pd2 Pd 0.0000 0.5000 0.0000 1
Au1 Au 0.0000 0.3034 0.5000 1
Au2 Au 0.0026 0.5013 0.6525 1
# **Fermi-level density of states**: 58.3 states/eV/cell
# **Final energy**: -249.9 eV for the cell shown
# **M_tot**: 1.8 μB/f.u.

***

# 8
# LaTb2Dy2 (PBE, relaxed)
data_LaTb2Dy2
_symmetry_space_group_name_H-M 'I 4/m m m'
_symmetry_Int_Tables_number 139
_symmetry_space_group_name_Hall '-I 4 2'
_cell_length_a 3.5979
_cell_length_b 3.5979
_cell_length_c 25.3263
_cell_angle_alpha 90.00
_cell_angle_beta 90.00
_cell_angle_gamma 90.00
loop_
_atom_site_label
_atom_site_type_symbol
_atom_site_fract_x
_atom_site_fract_y
_atom_site_fract_z
_atom_site_occupancy
La1 La 0.0000 0.0000 0.0000 1
Tb1 Tb 0.0000 0.0000 0.2006 1
Dy1 Dy 0.0000 0.0000 0.3972 1
# **Fermi-level density of states**: 14.0 states/eV/cell
# **M_tot**: 0.0 μB/f.u.
# **E above lowest polymorph**: 0 meV per atom